1.
PBE LiAc3Tl3, optimized geometry; volume = 33.7 Å³/atom; DOS at the Fermi energy = 13.946 states/eV per cell; E above lowest polymorph = 0.000 eV/atom; SG = C2/m, No. 12; calculated formation energy = -0.316 eV per atom
1.0
-3.203 -3.802 -0.600
0.207 -4.257 4.972
-12.545 6.113 7.340
Li Tl Ac
2 6 6
Cartesian
-7.489 -0.748 2.926
-8.053 -1.198 8.786
-6.027 1.056 4.585
-11.821 1.651 10.853
-9.515 -3.002 7.126
-9.637 3.816 6.369
-5.904 -5.763 5.343
-3.720 -3.597 0.859
-6.184 -2.328 5.970
-3.623 -0.691 2.823
-2.767 -4.875 3.868
-12.775 2.929 7.843
-11.918 -1.255 8.888
-9.357 0.382 5.741



2.
PBE LiAcTl, optimized geometry; volume = 29.2 Å³/atom; DOS at the Fermi energy = 12.789 states/eV per cell; E above lowest polymorph = 0.000 eV/atom; SG = Pnma, No. 62; calculated formation energy = -0.295 eV per atom
1.0
5.117 0.000 0.000
0.000 8.309 0.000
0.000 0.000 8.239
Li Tl Ac
4 4 4
Cartesian
1.279 3.487 5.515
1.279 0.667 1.395
3.837 4.822 2.724
3.837 7.642 6.843
3.837 7.553 1.647
1.279 3.399 2.472
1.279 0.756 6.591
3.837 4.910 5.767
3.837 1.678 4.132
1.279 5.833 8.226
3.837 2.476 0.013
1.279 6.631 4.106



3.
PBE LiAc6Tl5, optimized geometry; volume = 35.1 Å³/atom; DOS at the Fermi energy = 15.327 states/eV per cell; SG = Cmmm, No. 65; calculated formation energy = -0.297 eV per atom
1.0
-5.285 -2.059 -1.393
2.557 -1.380 -7.662
-0.097 -9.126 1.611
Ac Tl Li
6 5 1
Cartesian
-0.317 -6.748 -1.068
-3.794 -5.123 -2.521
-0.736 -2.058 -6.409
0.970 -7.442 -4.924
-2.507 -5.817 -6.377
-1.992 -1.381 -2.647
-2.308 -8.148 -3.686
-1.841 -3.577 0.030
1.279 -0.690 -3.831
-0.516 -4.416 -3.759
-3.540 -7.608 0.188
0.000 0.000 0.000



| no. | electronic total energy (eV per atom) |
| --- | --- |
| 1 | -3.36 |
| 2 | -3.09 |
| 3 | -3.50 |